# 1
# KPH3NO3

A geometry-optimized KPH3NO3 structure (PBE, the Alexandria database).

Output
The calculation puts the total energy at -5.882 eV per atom.

Lattice parameters (Å, degrees): 6.175 6.984 12.023 90.00 120.30 90.00
Space group P2_1/c (No. 14)
Asymmetric unit:
K (0.041, 0.010, 0.292) (multiplicity 4)
P (0.340, 0.662, 0.589) (multiplicity 4)
H (0.159, 0.146, 0.074) (multiplicity 4)
H (0.359, 0.147, 0.014) (multiplicity 4)
H (0.477, 0.159, 0.176) (multiplicity 4)
N (0.335, 0.097, 0.090) (multiplicity 4)
O (0.134, 0.708, 0.452) (multiplicity 4)
O (0.281, 0.719, 0.693) (multiplicity 4)
O (0.394, 0.207, 0.881) (multiplicity 4)

***

# 2
# TlCo2PbCl8

A geometry-optimized TlCo2PbCl8 structure (PBE, the Alexandria database).

Output
As for the uncorrected formation energy: -9.3 eV per formula unit. The calculation puts the total energy at -3.699 eV per atom.

Lattice parameters (Å, degrees): 6.5640 6.5640 28.3297 90.00 90.00 120.00
Space group R-3 (No. 148, hexagonal axes)
Asymmetric unit:
Tl (0.0000, 0.0000, 0.0000) (multiplicity 3)
Co (0.0000, 0.0000, 0.2531) (multiplicity 6)
Pb (0.0000, 0.0000, 0.5000) (multiplicity 3)
Cl (0.0000, 0.0000, 0.3297) (multiplicity 6)
Cl (0.0000, 0.3599, 0.4391) (multiplicity 18)

***

# 3
# CaMnPb

A geometry-optimized CaMnPb structure (PBE, the Alexandria database).

Output
The energy of formation is 157 meV per atom. The calculation puts the total energy at -4.803 eV per atom.

Lattice parameters (Å, degrees): 8.709 3.623 9.338 90.00 90.05 90.00
Space group P2_1/m (No. 11)
Asymmetric unit:
Ca (0.042, 0.250, 0.298) (multiplicity 2)
Ca (0.457, 0.750, 0.798) (multiplicity 2)
Mn (0.053, 0.250, 0.959) (multiplicity 2)
Mn (0.447, 0.750, 0.459) (multiplicity 2)
Pb (0.239, 0.250, 0.590) (multiplicity 2)
Pb (0.261, 0.750, 0.091) (multiplicity 2)

***

# 4
# EuHoAl2

A geometry-optimized EuHoAl2 structure (PBE, the Alexandria database).

Output
The energy of formation is -316 meV per atom. For the energy relative to the lowest polymorph listed for this composition, the calculation gives 0.000 eV/atom. The calculation puts the total energy at -5.900 eV per atom.

Lattice parameters (Å, degrees): 3.685 3.685 7.352 90.00 90.00 90.00
Space group P4/mmm (No. 123)
Asymmetric unit:
Eu (0.000, 0.000, 0.000) (multiplicity 1)
Ho (0.000, 0.000, 0.500) (multiplicity 1)
Al (0.500, 0.500, 0.274) (multiplicity 2)

***

# 5
# BeCu5

A geometry-optimized BeCu5 structure (PBE, the Alexandria database).

Output
The energy of formation is 1 meV per atom. For the energy relative to the lowest polymorph listed for this composition, the calculation gives 0.031 eV/atom. The calculation puts the total energy at -4.034 eV per atom.

Lattice parameters (Å, degrees): 4.3869 4.3869 4.0779 90.00 90.00 120.00
Space group P-62m (No. 189)
Asymmetric unit:
Be (0.0000, 0.0000, 0.0000) (multiplicity 1)
Cu (0.0000, 0.6755, 0.5000) (multiplicity 3)
Cu (0.3333, 0.6667, 0.0000) (multiplicity 2)

***

# 6
# SrScSb2

A geometry-optimized SrScSb2 structure (PBE, the Alexandria database).

Output
For the energy relative to the lowest polymorph listed for this composition, the calculation gives 0.115 eV/atom. As for the uncorrected formation energy: -3.0 eV per formula unit. The calculation puts the total energy at -4.803 eV per atom.

Lattice parameters (Å, degrees): 4.765 5.704 8.331 90.00 90.00 90.00
Space group Cmmm (No. 65)
Asymmetric unit:
Sr (0.000, 0.000, 0.000) (multiplicity 2)
Sc (0.000, 0.000, 0.500) (multiplicity 2)
Sb (0.000, 0.500, 0.283) (multiplicity 4)

***

# 7
# AgMo2Ru

A geometry-optimized AgMo2Ru structure (PBE, the Alexandria database).

Output
The energy of formation is 509 meV per atom. For the energy relative to the lowest polymorph listed for this composition, the calculation gives 0.230 eV/atom. The calculation puts the total energy at -7.938 eV per atom.

Lattice parameters (Å, degrees): 6.319 6.319 6.319 90.00 90.00 90.00
Space group F-43m (No. 216)
Asymmetric unit:
Ag (0.000, 0.000, 0.000) (multiplicity 4)
Mo (0.000, 0.000, 0.500) (multiplicity 4)
Mo (0.250, 0.250, 0.750) (multiplicity 4)
Ru (0.250, 0.250, 0.250) (multiplicity 4)

***

# 8
# NaPmTePd

A geometry-optimized NaPmTePd structure (PBE, the Alexandria database).

Output
As for the uncorrected formation energy: -2.8 eV per formula unit. The calculation puts the total energy at -4.304 eV per atom.

Lattice parameters (Å, degrees): 7.357 7.357 7.357 90.00 90.00 90.00
Space group F-43m (No. 216)
Asymmetric unit:
Na (0.000, 0.000, 0.000) (multiplicity 4)
Pm (0.000, 0.000, 0.500) (multiplicity 4)
Te (0.250, 0.250, 0.750) (multiplicity 4)
Pd (0.250, 0.250, 0.250) (multiplicity 4)

***

# 9
# BaBe2TeP

A geometry-optimized BaBe2TeP structure (PBE, the Alexandria database).

Output
As for the uncorrected formation energy: 8.9 eV per formula unit. The calculation puts the total energy at -1.814 eV per atom.

Lattice parameters (Å, degrees): 5.574 5.574 5.679 90.00 90.00 90.00
Space group P4/mmm (No. 123)
Asymmetric unit:
Ba (0.000, 0.000, 0.000) (multiplicity 1)
Be (0.000, 0.500, 0.000) (multiplicity 2)
Te (0.500, 0.500, 0.500) (multiplicity 1)
P (0.000, 0.000, 0.500) (multiplicity 1)

***

# 10
# RhPbSe2

A geometry-optimized RhPbSe2 structure (PBE, the Alexandria database).

Output
As for the uncorrected formation energy: -0.6 eV per formula unit. The calculation puts the total energy at -4.668 eV per atom.

Lattice parameters (Å, degrees): 6.308 6.308 11.567 90.00 90.00 90.00
Space group I-42d (No. 122)
Asymmetric unit:
Rh (0.000, 0.000, 0.000) (multiplicity 4)
Pb (0.000, 0.000, 0.500) (multiplicity 4)
Se (0.178, 0.250, 0.125) (multiplicity 8)

***

# 11
# ZnSnP2O7

A geometry-optimized ZnSnP2O7 structure (PBE, the Alexandria database).

Output
For the energy relative to the lowest polymorph listed for this composition, the calculation gives 0.007 eV/atom. As for the uncorrected formation energy: -21.2 eV per formula unit. The calculation puts the total energy at -6.541 eV per atom.

Lattice parameters (Å, degrees): 7.171 9.494 9.388 90.00 110.06 90.00
Space group P2_1/c (No. 14)
Asymmetric unit:
Zn (0.175, 0.049, 0.293) (multiplicity 4)
Sn (0.306, 0.111, 0.948) (multiplicity 4)
P (0.008, 0.707, 0.961) (multiplicity 4)
P (0.396, 0.736, 0.725) (multiplicity 4)
O (0.005, 0.097, 0.660) (multiplicity 4)
O (0.018, 0.141, 0.096) (multiplicity 4)
O (0.151, 0.182, 0.459) (multiplicity 4)
O (0.220, 0.685, 0.091) (multiplicity 4)
O (0.348, 0.579, 0.723) (multiplicity 4)
O (0.411, 0.687, 0.371) (multiplicity 4)
O (0.415, 0.237, 0.315) (multiplicity 4)

***

# 12
# Sr2CdSi

A geometry-optimized Sr2CdSi structure (PBE, the Alexandria database).

Output
As for the uncorrected formation energy: -1.0 eV per formula unit. The calculation puts the total energy at -2.685 eV per atom.

Lattice parameters (Å, degrees): 5.550 5.550 3.916 90.00 90.00 90.00
Space group P4/mmm (No. 123)
Asymmetric unit:
Sr (0.000, 0.500, 0.000) (multiplicity 2)
Cd (0.000, 0.000, 0.500) (multiplicity 1)
Si (0.500, 0.500, 0.500) (multiplicity 1)

***

# 13
# CaBi2Se4

A geometry-optimized CaBi2Se4 structure (PBE, the Alexandria database).

Output
For the energy relative to the lowest polymorph listed for this composition, the calculation gives 0.000 eV/atom. As for the uncorrected formation energy: -5.9 eV per formula unit. The calculation puts the total energy at -4.232 eV per atom.

Lattice parameters (Å, degrees): 4.2034 4.2034 41.7190 90.00 90.00 120.00
Space group R-3m (No. 166, hexagonal axes)
Asymmetric unit:
Ca (0.0000, 0.0000, 0.0000) (multiplicity 3)
Bi (0.0000, 0.0000, 0.4218) (multiplicity 6)
Se (0.0000, 0.0000, 0.1255) (multiplicity 6)
Se (0.0000, 0.0000, 0.2923) (multiplicity 6)

***

# 14
# LaHfAu

A geometry-optimized LaHfAu structure (PBE, the Alexandria database).

Output
The energy of formation is -400 meV per atom. For the energy relative to the lowest polymorph listed for this composition, the calculation gives 0.004 eV/atom. The calculation puts the total energy at -6.453 eV per atom.

Lattice parameters (Å, degrees): 4.583 4.583 14.989 90.00 90.00 90.00
Space group I4/mmm (No. 139)
Asymmetric unit:
La (0.000, 0.000, 0.184) (multiplicity 4)
Hf (0.000, 0.500, 0.000) (multiplicity 4)
Au (0.000, 0.000, 0.386) (multiplicity 4)

***

# 15
# SrAcI5

A geometry-optimized SrAcI5 structure (PBE, the Alexandria database).

Output
As for the uncorrected formation energy: -10.7 eV per formula unit. The calculation puts the total energy at -3.467 eV per atom.

Lattice parameters (Å, degrees): 12.888 11.174 12.897 90.00 117.31 90.00
Space group C2/c (No. 15)
Asymmetric unit:
Sr (0.000, 0.081, 0.250) (multiplicity 4)
Ac (0.250, 0.250, 0.000) (multiplicity 4)
I (0.000, 0.225, 0.750) (multiplicity 4)
I (0.107, 0.283, 0.149) (multiplicity 8)
I (0.225, 0.038, 0.502) (multiplicity 8)

***

# 16
# Zn2GaSnRu

A geometry-optimized Zn2GaSnRu structure (PBE, the Alexandria database).

Output
The energy of formation is 1307 meV per atom. The calculation puts the total energy at -2.463 eV per atom.

Lattice parameters (Å, degrees): 4.977 4.977 5.304 90.00 90.00 90.00
Space group P4/mmm (No. 123)
Asymmetric unit:
Zn (0.000, 0.500, 0.000) (multiplicity 2)
Ga (0.000, 0.000, 0.500) (multiplicity 1)
Sn (0.000, 0.000, 0.000) (multiplicity 1)
Ru (0.500, 0.500, 0.500) (multiplicity 1)

***

# 17
# TiCoSb

A geometry-optimized TiCoSb structure (PBE, the Alexandria database).

Output
As for the uncorrected formation energy: 0.0 eV per formula unit. The calculation puts the total energy at -6.368 eV per atom.

Lattice parameters (Å, degrees): 5.206 7.265 5.427 90.00 90.00 90.00
Space group Cmcm (No. 63)
Asymmetric unit:
Ti (0.000, 0.166, 0.250) (multiplicity 4)
Co (0.000, 0.500, 0.000) (multiplicity 4)
Sb (0.000, 0.202, 0.750) (multiplicity 4)

***

# 18
# SrNiTe2

A geometry-optimized SrNiTe2 structure (PBE, the Alexandria database).

Output
As for the uncorrected formation energy: -0.9 eV per formula unit. The calculation puts the total energy at -3.654 eV per atom.

Lattice parameters (Å, degrees): 3.686 3.686 7.687 90.00 90.00 90.00
Space group P4/mmm (No. 123)
Asymmetric unit:
Sr (0.000, 0.000, 0.000) (multiplicity 1)
Ni (0.000, 0.000, 0.500) (multiplicity 1)
Te (0.500, 0.500, 0.290) (multiplicity 2)

***

# 19
# TlSnHgPb

A geometry-optimized TlSnHgPb structure (PBE, the Alexandria database).

Output
The energy of formation is 25 meV per atom. For the energy relative to the lowest polymorph listed for this composition, the calculation gives 0.003 eV/atom. The calculation puts the total energy at -2.570 eV per atom.

Lattice parameters (Å, degrees): 7.734 7.734 7.734 90.00 90.00 90.00
Space group F-43m (No. 216)
Asymmetric unit:
Tl (0.000, 0.000, 0.000) (multiplicity 4)
Sn (0.250, 0.250, 0.250) (multiplicity 4)
Hg (0.250, 0.250, 0.750) (multiplicity 4)
Pb (0.000, 0.000, 0.500) (multiplicity 4)

***

# 20
# Ce2HgO

A geometry-optimized Ce2HgO structure (PBE, the Alexandria database).

Output
For the energy relative to the lowest polymorph listed for this composition, the calculation gives 0.000 eV/atom. As for the uncorrected formation energy: -5.8 eV per formula unit. The calculation puts the total energy at -5.730 eV per atom.

Lattice parameters (Å, degrees): 3.6273 3.6273 23.3665 90.00 90.00 120.00
Space group R3m (No. 160, hexagonal axes)
Asymmetric unit:
Ce (0.0000, 0.0000, 0.0000) (multiplicity 3)
Ce (0.0000, 0.0000, 0.2170) (multiplicity 3)
Hg (0.0000, 0.0000, 0.7755) (multiplicity 3)
O (0.0000, 0.0000, 0.6078) (multiplicity 3)